Entry from Alexandria via LeMat-Bulk: a geometry-optimized Ag8Hg2Pd structure (PBE).

ΔE to the lowest computed polymorph   85 meV per atom
Energy of formation   131.8 meV/atom
Density of states at the Fermi level   0.30 states/eV/atom
Final energy   -0.181 Ry/atom
SG   C2/m (12)

Cell lengths 7.660, 7.660, 4.901 Å; angles 103.71, 103.71, 120.66 degrees
Atoms (fractional coordinates):
Ag 0.098 0.312 0.626
Ag 0.205 0.795 0.000
Ag 0.312 0.098 0.626
Ag 0.404 0.404 0.185
Ag 0.596 0.596 0.815
Ag 0.688 0.902 0.374
Ag 0.795 0.205 0.000
Ag 0.902 0.688 0.374
Hg 0.306 0.694 0.500
Hg 0.694 0.306 0.500
Pd 0.000 0.000 0.000

***

Entry from Alexandria via LeMat-Bulk: a geometry-optimized Ag8HgPd5 structure (PBE).

Energy of formation   127.8 meV/atom
Density of states at the Fermi level   0.38 states/eV/atom
Final energy   -0.248 Ry/atom
SG   I-4 (82)

Cell lengths 6.954, 6.954, 6.954 Å; angles 111.27, 111.27, 105.94 degrees
Atoms (fractional coordinates):
Ag 0.175 0.399 0.565
Ag 0.323 0.222 0.234
Ag 0.389 0.825 0.224
Ag 0.601 0.166 0.776
Ag 0.778 0.012 0.101
Ag 0.834 0.611 0.435
Ag 0.912 0.677 0.899
Ag 0.988 0.088 0.766
Hg 0.500 0.500 0.000
Pd 0.052 0.467 0.179
Pd 0.127 0.948 0.415
Pd 0.288 0.873 0.821
Pd 0.533 0.712 0.585
Pd 0.750 0.250 0.500

***

Entry from Alexandria via LeMat-Bulk: a geometry-optimized Ag2HgPd3 structure (PBE).

ΔE to the lowest computed polymorph   0 meV per atom
Energy of formation   -94.9 meV/atom
Density of states at the Fermi level   0.32 states/eV/atom
Final energy   -0.271 Ry/atom
SG   Cmmm (65)

Cell lengths 4.260, 12.746, 3.773 Å; angles 90.00, 90.00, 90.00 degrees
Atoms (fractional coordinates):
Ag 0.000 0.170 0.000
Ag 0.000 0.830 0.000
Ag 0.500 0.330 0.000
Ag 0.500 0.670 0.000
Hg 0.000 0.500 0.000
Hg 0.500 0.000 0.000
Pd 0.000 0.000 0.500
Pd 0.000 0.333 0.500
Pd 0.000 0.667 0.500
Pd 0.500 0.167 0.500
Pd 0.500 0.500 0.500
Pd 0.500 0.833 0.500

***

Entry from Alexandria via LeMat-Bulk: a geometry-optimized AgHg2Pd3 structure (PBE).

ΔE to the lowest computed polymorph   67 meV per atom
Energy of formation   -79.5 meV/atom
Density of states at the Fermi level   0.37 states/eV/atom
Final energy   -0.239 Ry/atom
SG   C2/m (12)

Cell lengths 7.741, 7.741, 8.288 Å; angles 121.99, 121.99, 30.77 degrees
Atoms (fractional coordinates):
Ag 0.082 0.082 0.210
Ag 0.918 0.918 0.790
Hg 0.244 0.244 0.630
Hg 0.415 0.415 0.064
Hg 0.585 0.585 0.936
Hg 0.756 0.756 0.370
Pd 0.079 0.079 0.700
Pd 0.245 0.245 0.121
Pd 0.415 0.415 0.533
Pd 0.585 0.585 0.467
Pd 0.755 0.755 0.879
Pd 0.921 0.921 0.300

***

Which of these has the highest energy of formation?
Ag8Hg2Pd

***

Among the records above, which one has the highest final energy?
Ag8Hg2Pd

***

Look up the energy of formation of the fourth one.
-79.5 meV/atom